# AsW3S (PBE, optimized geometry)
# uncorrected energy	-8.426	eV per atom
# E_form (uncorrected)	1.102	eV/atom
# total magnetization	0.0	μB/cell
# E above lowest polymorph	0.0	meV/atom
data_AsW3S
_cell_length_a 4.461
_cell_length_b 4.461
_cell_length_c 4.461
_cell_angle_alpha 90.00
_cell_angle_beta 90.00
_cell_angle_gamma 90.00
_space_group_name_H-M_alt 'P m -3 m'
_space_group_IT_number 221
_space_group_name_Hall '-P 4 2 3'
loop_
_atom_site_label
_atom_site_type_symbol
_atom_site_fract_x
_atom_site_fract_y
_atom_site_fract_z
As1 As 0.000 0.000 0.000
W1 W 0.000 0.500 0.500
S1 S 0.500 0.500 0.500

# LuTh2Nb (PBE, optimized geometry)
# uncorrected energy	-6.906	eV per atom
# E_form	44	kJ per mole of atoms
# total magnetization	0.0	μB/cell
# E above lowest polymorph	295.2	meV/atom
data_LuTh2Nb
_cell_length_a 3.2741
_cell_length_b 3.2741
_cell_length_c 35.9825
_cell_angle_alpha 90.00
_cell_angle_beta 90.00
_cell_angle_gamma 120.00
_space_group_name_H-M_alt 'R -3 m'
_space_group_IT_number 166
_space_group_name_Hall '-R 3 2"'
loop_
_atom_site_label
_atom_site_type_symbol
_atom_site_fract_x
_atom_site_fract_y
_atom_site_fract_z
Lu1 Lu 0.0000 0.0000 0.0000
Th1 Th 0.0000 0.0000 0.0905
Nb1 Nb 0.0000 0.0000 0.5000

# AcZr3H (PBE, optimized geometry)
# uncorrected energy	-6.510	eV per atom
# total magnetization	0.0	μB/cell
data_AcZr3H
_cell_length_a 4.736
_cell_length_b 4.736
_cell_length_c 4.736
_cell_angle_alpha 90.00
_cell_angle_beta 90.00
_cell_angle_gamma 90.00
_space_group_name_H-M_alt 'P m -3 m'
_space_group_IT_number 221
_space_group_name_Hall '-P 4 2 3'
loop_
_atom_site_label
_atom_site_type_symbol
_atom_site_fract_x
_atom_site_fract_y
_atom_site_fract_z
Ac1 Ac 0.000 0.000 0.000
Zr1 Zr 0.000 0.500 0.500
H1 H 0.500 0.500 0.500

> total magnetization of number 1 (AsW3S)?

0.0 μB/cell